Computed, not measured: an optimized crystal structure of FePRuO2 at the PBE with a Hubbard U level of DFT.

The calculation puts the total energy at -5.921 eV per atom. The volume is 69.9 Å³/f.u. The value obtained for the density is 5.2 g cm⁻³. The energy above the lowest structure with this stoichiometry is 285 meV per atom. Its size of the total moment is 3.340 Bohr magnetons per cell.

The space group is P4/mmm (No. 123) and the conventional cell measures 3.526, 3.526 and 5.619 Å, with angles of 90.00, 90.00 and 90.00 degrees. The inequivalent atoms are Fe at (0.000, 0.000, 0.000), P at (0.000, 0.000, 0.500), Ru at (0.500, 0.500, 0.500) and O at (0.000, 0.500, 0.000).